Record 1
Density functional theory data (PBE) for crystalline CoSb2Te at its relaxed geometry.

a b c (Å): 3.964 3.964 8.021
angles (deg): 84.75 84.75 48.04
Sites, in units of the cell vectors:
Sb 0.964 0.964 0.072
Sb 0.536 0.536 0.428
Co 0.250 0.250 0.250
Te 0.750 0.750 0.750

Computed properties:
- Calculated total energy: -0.16715 hartree per atom
- DOS at the Fermi energy: 2.6 states/eV per cell
- Space-group type: C2/m

Record 2
Density functional theory data (PBE) for crystalline CoSb2Te at its relaxed geometry.

a b c (Å): 6.245 6.245 7.558
angles (deg): 65.60 65.60 90.00
Sites, in units of the cell vectors:
Te 0.000 0.000 0.000
Te 0.750 0.250 0.500
Co 0.500 0.500 0.000
Co 0.250 0.750 0.500
Sb 0.217 0.625 0.250
Sb 0.375 0.467 0.750
Sb 0.533 0.125 0.250
Sb 0.875 0.783 0.750

Computed properties:
- Calculated total energy: -0.16307 hartree per atom
- DOS at the Fermi energy: 7.3 states/eV per cell
- Space-group type: I-42d

Record 3
Density functional theory data (PBE) for crystalline CoSbTe at its relaxed geometry.

a b c (Å): 6.824 6.824 3.198
angles (deg): 76.45 76.46 27.10
Sites, in units of the cell vectors:
Co 0.006 0.006 0.994
Te 0.618 0.618 0.382
Sb 0.376 0.376 0.624

Computed properties:
- Calculated total energy: -0.17122 hartree per atom
- DOS at the Fermi energy: 2.0 states/eV per cell
- Space-group type: I4mm